This record from Alexandria describes crystalline Y7Sb at its relaxed geometry. The functional is PBE.

Cell and atoms, written as POSCAR:
```
Y7Sb
1.0
0.000 4.944 4.944
4.944 0.000 4.944
4.944 4.944 0.000
Y Sb
7 1
Direct
0.000 0.000 0.000
0.000 0.000 0.500
0.000 0.500 0.000
0.000 0.500 0.500
0.500 0.000 0.000
0.500 0.000 0.500
0.500 0.500 0.000
0.500 0.500 0.500
```

Fermi-level density of states ... 8.9 states/eV per cell
SG ... No. 225

This record from Alexandria describes crystalline Y2Sb at its relaxed geometry. The functional is PBE.

Cell and atoms, written as POSCAR:
```
Y2Sb
1.0
0.000 4.428 4.428
4.428 0.000 4.428
4.428 4.428 0.000
Y Sb
4 2
Direct
0.000 0.000 0.000
0.000 0.000 0.500
0.000 0.500 0.000
0.500 0.000 0.000
0.375 0.375 0.375
0.625 0.625 0.625
```

Fermi-level density of states ... 5.9 states/eV per cell
SG ... No. 227

This record from Alexandria describes crystalline Y2Sb at its relaxed geometry. The functional is PBE.

Cell and atoms, written as POSCAR:
```
Y2Sb
1.0
2.102 -6.619 0.000
2.102 6.619 0.000
0.000 0.000 6.335
Y Sb
4 2
Direct
0.000 0.000 0.000
0.000 0.000 0.500
0.301 0.699 0.750
0.699 0.301 0.250
0.368 0.632 0.250
0.632 0.368 0.750
```

Fermi-level density of states ... 6.1 states/eV per cell
SG ... No. 63

This record from Alexandria describes crystalline YSb3 at its relaxed geometry. The functional is PBE.

Cell and atoms, written as POSCAR:
```
YSb3
1.0
4.254 -4.515 0.000
4.254 4.515 0.000
0.000 0.000 5.967
Y Sb
2 6
Direct
0.138 0.862 0.750
0.862 0.138 0.250
0.048 0.350 0.750
0.350 0.048 0.250
0.470 0.530 0.250
0.530 0.470 0.750
0.650 0.952 0.750
0.952 0.650 0.250
```

Fermi-level density of states ... 2.9 states/eV per cell
SG ... No. 63

This record from Alexandria describes crystalline Y2Sb3 at its relaxed geometry. The functional is PBE.

Cell and atoms, written as POSCAR:
```
Y2Sb3
1.0
5.410 0.000 0.000
-2.705 4.685 0.000
0.000 0.000 6.165
Y Sb
2 3
Direct
0.333 0.667 0.282
0.667 0.333 0.718
0.000 0.000 0.500
0.333 0.667 0.785
0.667 0.333 0.215
```

Fermi-level density of states ... 3.8 states/eV per cell
SG ... No. 164

This record from Alexandria describes crystalline Y5Sb2 at its relaxed geometry. The functional is PBE.

Cell and atoms, written as POSCAR:
```
Y5Sb2
1.0
8.081 -3.173 0.000
8.081 3.173 0.000
-0.932 0.000 8.159
Y Sb
10 4
Direct
0.150 0.850 0.750
0.151 0.308 0.323
0.278 0.538 0.074
0.308 0.151 0.823
0.462 0.722 0.426
0.538 0.278 0.574
0.692 0.849 0.177
0.722 0.462 0.926
0.849 0.692 0.677
0.850 0.150 0.250
0.068 0.725 0.418
0.275 0.932 0.082
0.725 0.068 0.918
0.932 0.275 0.582
```

Fermi-level density of states ... 18.2 states/eV per cell
SG ... No. 15

This record from Alexandria describes crystalline Y4Sb3 at its relaxed geometry. The functional is PBE.

Cell and atoms, written as POSCAR:
```
Y4Sb3
1.0
-4.606 4.606 4.606
4.606 -4.606 4.606
4.606 4.606 -4.606
Y Sb
8 6
Direct
0.000 0.356 0.500
0.000 0.856 0.500
0.144 0.144 0.144
0.356 0.500 0.000
0.500 0.000 0.356
0.500 0.000 0.856
0.644 0.644 0.644
0.856 0.500 0.000
0.125 0.750 0.875
0.250 0.625 0.375
0.375 0.250 0.625
0.625 0.375 0.250
0.750 0.875 0.125
0.875 0.125 0.750
```

Fermi-level density of states ... 15.8 states/eV per cell
SG ... No. 220

This record from Alexandria describes crystalline YSb3 at its relaxed geometry. The functional is PBE.

Cell and atoms, written as POSCAR:
```
YSb3
1.0
2.236 -2.897 0.000
2.236 2.897 0.000
0.000 0.000 8.626
Y Sb
1 3
Direct
0.000 0.000 0.000
0.000 0.000 0.500
0.500 0.500 0.241
0.500 0.500 0.759
```

Fermi-level density of states ... 1.4 states/eV per cell
SG ... No. 65

This record from Alexandria describes crystalline Y4Sb5 at its relaxed geometry. The functional is PBE.

Cell and atoms, written as POSCAR:
```
Y4Sb5
1.0
-5.278 5.278 2.294
5.278 -5.278 2.294
5.278 5.278 -2.294
Y Sb
4 5
Direct
0.000 0.290 0.290
0.000 0.710 0.710
0.290 0.000 0.290
0.710 0.000 0.710
0.000 0.000 0.000
0.323 0.323 0.645
0.323 0.677 0.000
0.677 0.323 0.000
0.677 0.677 0.355
```

Fermi-level density of states ... 4.7 states/eV per cell
SG ... No. 139

This record from Alexandria describes crystalline Y5Sb4 at its relaxed geometry. The functional is PBE.

Cell and atoms, written as POSCAR:
```
Y5Sb4
1.0
9.340 0.000 0.000
-4.670 8.089 0.000
0.000 0.000 6.443
Y Sb
10 8
Direct
0.000 0.275 0.250
0.000 0.725 0.750
0.275 0.000 0.250
0.275 0.275 0.750
0.333 0.667 0.000
0.333 0.667 0.500
0.667 0.333 0.000
0.667 0.333 0.500
0.725 0.000 0.750
0.725 0.725 0.250
0.000 0.000 0.000
0.000 0.000 0.500
0.000 0.390 0.750
0.000 0.610 0.250
0.390 0.000 0.750
0.390 0.390 0.250
0.610 0.000 0.250
0.610 0.610 0.750
```

Fermi-level density of states ... 19.9 states/eV per cell
SG ... No. 193

This record from Alexandria describes crystalline Y2Sb at its relaxed geometry. The functional is PBE.

Cell and atoms, written as POSCAR:
```
Y2Sb
1.0
-3.774 3.774 3.048
3.774 -3.774 3.048
3.774 3.774 -3.048
Y Sb
4 2
Direct
0.159 0.659 0.818
0.341 0.159 0.500
0.659 0.841 0.500
0.841 0.341 0.182
0.250 0.250 0.000
0.750 0.750 0.000
```

Fermi-level density of states ... 8.2 states/eV per cell
SG ... No. 140

This record from Alexandria describes crystalline YSb3 at its relaxed geometry. The functional is PBE.

Cell and atoms, written as POSCAR:
```
YSb3
1.0
6.012 0.000 0.000
0.000 6.012 0.000
0.000 0.000 6.012
Y Sb
2 6
Direct
0.000 0.000 0.000
0.500 0.500 0.500
0.000 0.250 0.500
0.000 0.750 0.500
0.250 0.500 0.000
0.500 0.000 0.250
0.500 0.000 0.750
0.750 0.500 0.000
```

Fermi-level density of states ... 5.1 states/eV per cell
SG ... No. 223

This record from Alexandria describes crystalline YSb3 at its relaxed geometry. The functional is PBE.

Cell and atoms, written as POSCAR:
```
YSb3
1.0
5.152 2.974 1.197
-5.152 2.974 1.197
0.000 -5.949 1.197
Y Sb
1 3
Direct
0.000 0.000 0.000
0.000 0.500 0.500
0.500 0.000 0.500
0.500 0.500 0.000
```

Fermi-level density of states ... 2.2 states/eV per cell
SG ... No. 166

This record from Alexandria describes crystalline YSb3 at its relaxed geometry. The functional is PBE.

Cell and atoms, written as POSCAR:
```
YSb3
1.0
6.108 -2.163 0.000
6.108 2.163 0.000
-0.407 0.000 4.544
Y Sb
1 3
Direct
0.000 0.000 0.000
0.258 0.258 0.218
0.500 0.500 0.500
0.742 0.742 0.782
```

Fermi-level density of states ... 0.6 states/eV per cell
SG ... No. 12

This record from Alexandria describes crystalline Y3Sb4 at its relaxed geometry. The functional is PBE.

Cell and atoms, written as POSCAR:
```
Y3Sb4
1.0
-2.116 2.116 12.094
2.116 -2.116 12.094
2.116 2.116 -12.094
Y Sb
3 4
Direct
0.000 0.000 0.000
0.306 0.306 0.000
0.694 0.694 0.000
0.175 0.175 0.000
0.442 0.442 0.000
0.558 0.558 0.000
0.825 0.825 0.000
```

Fermi-level density of states ... 1.9 states/eV per cell
SG ... No. 139

This record from Alexandria describes crystalline YSb3 at its relaxed geometry. The functional is PBE.

Cell and atoms, written as POSCAR:
```
YSb3
1.0
4.208 0.000 0.000
0.000 4.193 0.000
-1.147 0.000 6.302
Y Sb
1 3
Direct
0.000 0.000 0.000
0.000 0.000 0.500
0.463 0.500 0.762
0.537 0.500 0.238
```

Fermi-level density of states ... 2.3 states/eV per cell
SG ... No. 10

This record from Alexandria describes crystalline Y2Sb at its relaxed geometry. The functional is PBE.

Cell and atoms, written as POSCAR:
```
Y2Sb
1.0
-2.078 3.156 6.748
2.078 -3.156 6.748
2.078 3.156 -6.748
Y Sb
4 2
Direct
0.189 0.189 0.000
0.255 0.500 0.755
0.745 0.500 0.245
0.811 0.811 0.000
0.357 0.857 0.500
0.643 0.143 0.500
```

Fermi-level density of states ... 4.7 states/eV per cell
SG ... No. 71

This record from Alexandria describes crystalline Y5Sb4 at its relaxed geometry. The functional is PBE.

Cell and atoms, written as POSCAR:
```
Y5Sb4
1.0
-6.047 6.047 2.160
6.047 -6.047 2.160
6.047 6.047 -2.160
Y Sb
5 4
Direct
0.000 0.000 0.000
0.282 0.602 0.884
0.398 0.282 0.680
0.602 0.718 0.320
0.718 0.398 0.116
0.086 0.760 0.845
0.240 0.086 0.326
0.760 0.914 0.674
0.914 0.240 0.155
```

Fermi-level density of states ... 4.3 states/eV per cell
SG ... No. 87

This record from Alexandria describes crystalline Y2Sb at its relaxed geometry. The functional is PBE.

Cell and atoms, written as POSCAR:
```
Y2Sb
1.0
5.881 -2.053 0.000
5.881 2.053 0.000
-4.039 0.000 7.358
Y Sb
4 2
Direct
0.072 0.072 0.349
0.347 0.347 0.945
0.653 0.653 0.055
0.928 0.928 0.651
0.342 0.342 0.323
0.658 0.658 0.677
```

Fermi-level density of states ... 7.9 states/eV per cell
SG ... No. 12

This record from Alexandria describes crystalline YSb3 at its relaxed geometry. The functional is PBE.

Cell and atoms, written as POSCAR:
```
YSb3
1.0
8.511 0.000 0.000
0.000 8.774 0.000
0.000 0.000 6.225
Y Sb
4 12
Direct
0.058 0.250 0.113
0.442 0.750 0.613
0.558 0.250 0.387
0.942 0.750 0.887
0.042 0.750 0.390
0.240 0.512 0.874
0.240 0.988 0.874
0.260 0.012 0.374
0.260 0.488 0.374
0.458 0.250 0.890
0.542 0.750 0.110
0.740 0.512 0.626
0.740 0.988 0.626
0.760 0.012 0.126
0.760 0.488 0.126
0.958 0.250 0.610
```

Fermi-level density of states ... 4.0 states/eV per cell
SG ... No. 62

This record from Alexandria describes crystalline YSb3 at its relaxed geometry. The functional is PBE.

Cell and atoms, written as POSCAR:
```
YSb3
1.0
6.613 0.000 0.000
-3.307 5.727 0.000
0.000 0.000 11.501
Y Sb
4 12
Direct
0.000 0.000 0.000
0.000 0.000 0.500
0.333 0.667 0.250
0.667 0.333 0.750
0.000 0.500 0.000
0.000 0.500 0.500
0.162 0.323 0.750
0.162 0.838 0.750
0.323 0.162 0.250
0.500 0.000 0.000
0.500 0.000 0.500
0.500 0.500 0.000
0.500 0.500 0.500
0.677 0.838 0.750
0.838 0.162 0.250
0.838 0.677 0.250
```

Fermi-level density of states ... 7.2 states/eV per cell
SG ... No. 194

This record from Alexandria describes crystalline YZnSb3 at its relaxed geometry. The functional is PBE.

Cell and atoms, written as POSCAR:
```
YZnSb3
1.0
5.786 0.000 0.000
0.000 5.786 0.000
0.000 0.000 5.786
Y Zn Sb
1 1 3
Direct
0.000 0.000 0.000
0.500 0.500 0.500
0.000 0.000 0.500
0.000 0.500 0.000
0.500 0.000 0.000
```

Fermi-level density of states ... 4.2 states/eV per cell
SG ... No. 221

This record from Alexandria describes crystalline YZn2Sb at its relaxed geometry. The functional is PBE.

Cell and atoms, written as POSCAR:
```
YZn2Sb
1.0
3.660 0.000 0.000
0.000 3.660 0.000
0.000 0.000 6.622
Y Zn Sb
1 2 1
Direct
0.000 0.000 0.000
0.000 0.000 0.462
0.500 0.500 0.287
0.500 0.500 0.716
```

Fermi-level density of states ... 3.0 states/eV per cell
SG ... No. 99

This record from Alexandria describes crystalline YZn2Sb at its relaxed geometry. The functional is PBE.

Cell and atoms, written as POSCAR:
```
YZn2Sb
1.0
-3.997 3.997 2.965
3.997 -3.997 2.965
3.997 3.997 -2.965
Y Zn Sb
2 4 2
Direct
0.000 0.000 0.000
0.750 0.250 0.500
0.152 0.625 0.027
0.375 0.402 0.527
0.598 0.125 0.973
0.875 0.848 0.473
0.250 0.750 0.500
0.500 0.500 0.000
```

Fermi-level density of states ... 1.6 states/eV per cell
SG ... No. 122

This record from Alexandria describes crystalline YZn2Sb at its relaxed geometry. The functional is PBE.

Cell and atoms, written as POSCAR:
```
YZn2Sb
1.0
4.250 0.000 0.000
0.000 5.065 0.000
-0.028 0.000 4.509
Y Zn Sb
1 2 1
Direct
0.000 0.000 0.000
0.303 0.500 0.762
0.697 0.500 0.238
0.500 0.000 0.500
```

Fermi-level density of states ... 1.2 states/eV per cell
SG ... No. 10

Number 1: ΔE_f (raw) -0.1929 eV/atom. Number 2: ΔE_f (raw) -0.0540 eV/atom. Number 3: ΔE_f (raw) -0.7605 eV/atom. Number 4: ΔE_f (raw) -0.4042 eV/atom. Number 5: ΔE_f (raw) -0.6031 eV/atom. Number 6: ΔE_f (raw) -0.6523 eV/atom. Number 7: ΔE_f (raw) -1.0278 eV/atom. Number 8: ΔE_f (raw) -0.2450 eV/atom. Number 9: ΔE_f (raw) -0.6680 eV/atom. Number 10: ΔE_f (raw) -0.9959 eV/atom. Number 11: ΔE_f (raw) -0.7035 eV/atom. Number 12: ΔE_f (raw) -0.3687 eV/atom. Number 13: ΔE_f (raw) -0.2962 eV/atom. Number 14: ΔE_f (raw) -0.4483 eV/atom. Number 15: ΔE_f (raw) -0.7638 eV/atom. Number 16: ΔE_f (raw) -0.4074 eV/atom. Number 17: ΔE_f (raw) -0.7584 eV/atom. Number 18: ΔE_f (raw) -0.9112 eV/atom. Number 19: ΔE_f (raw) -0.7012 eV/atom. Number 20: ΔE_f (raw) -0.4664 eV/atom. Number 21: ΔE_f (raw) -0.3822 eV/atom. Number 22: ΔE_f (raw) 0.4363 eV/atom. Number 23: ΔE_f (raw) -0.2558 eV/atom. Number 24: ΔE_f (raw) -0.2345 eV/atom. Number 25: ΔE_f (raw) -0.2753 eV/atom.